(1)
Material: CuTePbO4
Method: DFT, PBE-GGA
State: relaxed

a = 5.730 Å, b = 6.327 Å, c = 6.765 Å
α = 90.00°, β = 104.66°, γ = 90.00°
Fractional positions:
Cu1 0.046 0.250 0.329
Cu2 0.954 0.750 0.671
Te1 0.268 0.750 0.395
Te2 0.732 0.250 0.605
Pb1 0.276 0.250 0.972
Pb2 0.724 0.750 0.028
O1 0.008 0.536 0.270
O2 0.008 0.964 0.270
O3 0.381 0.750 0.153
O4 0.406 0.250 0.411
O5 0.594 0.750 0.589
O6 0.619 0.250 0.847
O7 0.992 0.036 0.730
O8 0.992 0.464 0.730

Computed properties:
- Fermi-level density of states (states/eV per cell) = 5.266
- space group = P2_1/m (11)
- E (eV/atom) = -5.14
- formation energy without anion corrections (meV per atom) = -744
- total magnetic moment (μB/cell) = 0.00

(2)
Material: CuTePb2O6
Method: DFT, PBE-GGA
State: relaxed

a = 6.077 Å, b = 6.077 Å, c = 5.018 Å
α = 106.08°, β = 106.08°, γ = 53.53°
Fractional positions:
Cu1 0.000 0.000 0.000
Te1 0.500 0.500 0.500
Pb1 0.239 0.239 0.722
Pb2 0.761 0.761 0.278
O1 0.181 0.683 0.705
O2 0.317 0.819 0.295
O3 0.325 0.325 0.240
O4 0.675 0.675 0.760
O5 0.683 0.181 0.705
O6 0.819 0.317 0.295

Computed properties:
- Fermi-level density of states (states/eV per cell) = 1.152
- space group = C2/m (12)
- E (eV/atom) = -5.41
- formation energy without anion corrections (meV per atom) = -965
- total magnetic moment (μB/cell) = 0.95

(3)
Material: Cu2TePbO6
Method: DFT, PBE-GGA
State: relaxed

a = 5.253 Å, b = 5.493 Å, c = 5.855 Å
α = 69.94°, β = 66.64°, γ = 64.31°
Fractional positions:
Cu1 0.000 0.000 0.000
Cu2 0.436 0.638 0.521
Te1 0.667 0.693 0.957
Pb1 0.168 0.257 0.396
O1 0.030 0.788 0.771
O2 0.303 0.659 0.245
O3 0.394 0.029 0.810
O4 0.676 0.866 0.206
O5 0.700 0.494 0.723
O6 0.872 0.326 0.142

Computed properties:
- Fermi-level density of states (states/eV per cell) = 1.103
- space group = P1 (1)
- E (eV/atom) = -5.29
- formation energy without anion corrections (meV per atom) = -806
- total magnetic moment (μB/cell) = 0.01

(4)
Material: Cu2TePb2O6
Method: DFT, PBE-GGA
State: relaxed

a = 6.110 Å, b = 6.110 Å, c = 6.110 Å
α = 59.31°, β = 59.31°, γ = 59.31°
Fractional positions:
Cu1 0.090 0.090 0.090
Cu2 0.910 0.910 0.910
Te1 0.500 0.500 0.500
Pb1 0.286 0.286 0.286
Pb2 0.714 0.714 0.714
O1 0.269 0.269 0.710
O2 0.269 0.710 0.269
O3 0.290 0.731 0.731
O4 0.710 0.269 0.269
O5 0.731 0.290 0.731
O6 0.731 0.731 0.290

Computed properties:
- Fermi-level density of states (states/eV per cell) = 6.117
- space group = R-3m (166)
- E (eV/atom) = -5.24
- formation energy without anion corrections (meV per atom) = -828
- total magnetic moment (μB/cell) = 0.00